(1)
# Rb2BaAsCl6, relaxed, DFT PBE
data_Rb2BaAsCl6
_symmetry_space_group_name_H-M 'P 1'
_symmetry_Int_Tables_number 1
_cell_length_a 7.772
_cell_length_b 7.772
_cell_length_c 8.408
_cell_angle_alpha 62.47
_cell_angle_beta 62.47
_cell_angle_gamma 90.00
loop_
_symmetry_equiv_pos_as_xyz
'x,y,z'
loop_
_atom_site_label
_atom_site_type_symbol
_atom_site_fract_x
_atom_site_fract_y
_atom_site_fract_z
_atom_site_occupancy
As1 As 0.500 0.500 0.000 1
Ba1 Ba 0.000 0.000 0.000 1
Rb1 Rb 0.750 0.250 0.500 1
Rb2 Rb 0.250 0.750 0.500 1
Cl1 Cl 0.235 0.235 0.530 1
Cl2 Cl 0.765 0.765 0.470 1
Cl3 Cl 0.273 0.273 0.000 1
Cl4 Cl 0.727 0.727 0.000 1
Cl5 Cl 0.727 0.273 0.000 1
Cl6 Cl 0.273 0.727 0.000 1
# Density (Mg/m³): 2.6
# Formation energy from raw total energies (eV per atom): -1.540
# Symmetry: No. 139

(2)
# YErCo, relaxed, DFT PBE
data_YErCo
_symmetry_space_group_name_H-M 'P 1'
_symmetry_Int_Tables_number 1
_cell_length_a 3.739
_cell_length_b 5.619
_cell_length_c 7.153
_cell_angle_alpha 97.78
_cell_angle_beta 90.00
_cell_angle_gamma 90.00
loop_
_symmetry_equiv_pos_as_xyz
'x,y,z'
loop_
_atom_site_label
_atom_site_type_symbol
_atom_site_fract_x
_atom_site_fract_y
_atom_site_fract_z
_atom_site_occupancy
Y1 Y 0.750 0.807 0.670 1
Y2 Y 0.250 0.193 0.330 1
Er1 Er 0.750 0.661 0.164 1
Er2 Er 0.250 0.339 0.836 1
Co1 Co 0.750 0.133 0.041 1
Co2 Co 0.250 0.867 0.959 1
# Density (Mg/m³): 7.0
# E_form (meV per atom): -149
# Polymorph energy (0 for the lowest one) (eV/f.u.): 0.00
# Symmetry: No. 11

(3)
# Ba2Mg5Ga4, relaxed, DFT PBE
data_Ba2Mg5Ga4
_symmetry_space_group_name_H-M 'P 1'
_symmetry_Int_Tables_number 1
_cell_length_a 6.688
_cell_length_b 6.337
_cell_length_c 8.798
_cell_angle_alpha 78.43
_cell_angle_beta 67.66
_cell_angle_gamma 58.15
loop_
_symmetry_equiv_pos_as_xyz
'x,y,z'
loop_
_atom_site_label
_atom_site_type_symbol
_atom_site_fract_x
_atom_site_fract_y
_atom_site_fract_z
_atom_site_occupancy
Ba1 Ba 0.859 0.000 0.282 1
Ba2 Ba 0.141 0.000 0.718 1
Mg1 Mg 0.500 0.000 0.000 1
Mg2 Mg 0.000 0.500 0.000 1
Mg3 Mg 0.500 0.500 0.000 1
Mg4 Mg 0.250 0.500 0.500 1
Mg5 Mg 0.750 0.500 0.500 1
Ga1 Ga 0.518 0.250 0.715 1
Ga2 Ga 0.482 0.750 0.285 1
Ga3 Ga 0.232 0.250 0.285 1
Ga4 Ga 0.768 0.750 0.715 1
# Density (Mg/m³): 3.8
# E_form (meV per atom): -212
# Symmetry: No. 69

(4)
# PrHo14Mg, relaxed, DFT PBE
data_PrHo14Mg
_symmetry_space_group_name_H-M 'P 1'
_symmetry_Int_Tables_number 1
_cell_length_a 7.028
_cell_length_b 7.028
_cell_length_c 9.965
_cell_angle_alpha 90.00
_cell_angle_beta 90.00
_cell_angle_gamma 90.00
loop_
_symmetry_equiv_pos_as_xyz
'x,y,z'
loop_
_atom_site_label
_atom_site_type_symbol
_atom_site_fract_x
_atom_site_fract_y
_atom_site_fract_z
_atom_site_occupancy
Pr1 Pr 0.625 0.375 0.500 1
Ho1 Ho 0.125 0.875 0.000 1
Ho2 Ho 0.625 0.375 0.000 1
Ho3 Ho 0.125 0.375 0.500 1
Ho4 Ho 0.125 0.375 0.000 1
Ho5 Ho 0.625 0.875 0.500 1
Ho6 Ho 0.625 0.875 0.000 1
Ho7 Ho 0.375 0.126 0.751 1
Ho8 Ho 0.375 0.126 0.249 1
Ho9 Ho 0.874 0.625 0.751 1
Ho10 Ho 0.874 0.625 0.249 1
Ho11 Ho 0.375 0.625 0.751 1
Ho12 Ho 0.375 0.625 0.249 1
Ho13 Ho 0.874 0.126 0.751 1
Ho14 Ho 0.874 0.126 0.249 1
Mg1 Mg 0.126 0.874 0.500 1
# Density (Mg/m³): 8.3
# E_form (meV per atom): 22
# Symmetry: No. 38